(1)
The following is a DFT calculation (GGA-PBE) of TbSeCl after structural relaxation.

Computed properties:
Uncorrected energy (eV for the cell shown): -64.414
Calculated volume (A^3/atom): 27.0
Formation energy (no corrections) (eV per atom): -2.0473
N(E_F) (states/eV/f.u.): 0.00

Lattice parameters (Å, degrees): 10.4323 4.3166 7.1857 90.00 90.00 90.00
Last column: nearest neighbours and their distance in Å.
Fractional positions:
Tb: 0.1670 0.2500 0.1180  3 Cl 2.82-2.86, 4 Se 2.86-2.93
Tb: 0.3330 0.7500 0.6180  3 Cl 2.82-2.86, 4 Se 2.86-2.93
Tb: 0.6670 0.2500 0.3820  3 Cl 2.82-2.86, 4 Se 2.86-2.93
Tb: 0.8330 0.7500 0.8820  3 Cl 2.82-2.86, 4 Se 2.86-2.93
Se: 0.1140 0.7500 0.8679  4 Tb 2.86-2.93
Se: 0.3860 0.2500 0.3679  4 Tb 2.86-2.93
Se: 0.6140 0.7500 0.6321  4 Tb 2.86-2.93
Se: 0.8860 0.2500 0.1321  4 Tb 2.86-2.93
Cl: 0.1232 0.7500 0.3715  3 Tb 2.82-2.86
Cl: 0.3768 0.2500 0.8715  3 Tb 2.82-2.86
Cl: 0.6232 0.7500 0.1285  3 Tb 2.82-2.86
Cl: 0.8768 0.2500 0.6285  3 Tb 2.82-2.86

---

(2)
The following is a DFT calculation (GGA-PBE) of Tb6Se8Cl after structural relaxation.

Computed properties:
Uncorrected energy (eV for the cell shown): -83.234
Calculated volume (A^3/atom): 30.8
Formation energy (no corrections) (eV per atom): -1.7153
N(E_F) (states/eV/f.u.): 4.06

Lattice parameters (Å, degrees): 11.2337 11.2337 4.2242 90.00 90.00 120.00
Last column: nearest neighbours and their distance in Å.
Fractional positions:
Tb: 0.1384 0.6692 0.2520  6 Se 2.82-3.06
Tb: 0.3308 0.4692 0.2520  6 Se 2.82-3.06
Tb: 0.4692 0.1384 0.7480  6 Se 2.82-3.06
Tb: 0.5308 0.8616 0.2520  6 Se 2.82-3.06
Tb: 0.6692 0.5308 0.7480  6 Se 2.82-3.06
Tb: 0.8616 0.3308 0.7480  6 Se 2.82-3.06
Se: 0.0469 0.3783 0.2476  4 Tb 2.82-2.89
Se: 0.3314 0.9531 0.2476  4 Tb 2.82-2.89
Se: 0.3333 0.6667 0.7509  6 Tb 3.05-3.06
Se: 0.3783 0.3314 0.7524  4 Tb 2.82-2.89
Se: 0.6217 0.6686 0.2476  4 Tb 2.82-2.89
Se: 0.6667 0.3333 0.2491  6 Tb 3.05-3.06
Se: 0.6686 0.0469 0.7524  4 Tb 2.82-2.89
Se: 0.9531 0.6217 0.7524  4 Tb 2.82-2.89
Cl: 0.0000 0.0000 0.5000  6 Se 4.15, 2 Cl 4.22

---

(3)
The following is a DFT calculation (GGA-PBE) of Tb4ZnSe2Cl after structural relaxation.

Computed properties:
Uncorrected energy (eV for the cell shown): -38.922
Calculated volume (A^3/atom): 24.3
Formation energy (no corrections) (eV per atom): -1.2889
N(E_F) (states/eV/f.u.): 4.12

Lattice parameters (Å, degrees): 7.1390 3.9950 7.1658 90.00 108.01 90.00
Last column: nearest neighbours and their distance in Å.
Fractional positions:
Tb: 0.2335 0.0000 0.2454  1 Zn 2.83, 3 Se 2.84-2.96, 2 Cl 2.97
Tb: 0.2432 0.5000 0.7459  2 Zn 2.87, 3 Se 2.88-2.93, 1 Cl 2.91
Tb: 0.7568 0.5000 0.2541  2 Zn 2.87, 3 Se 2.88-2.93, 1 Cl 2.91
Tb: 0.7665 0.0000 0.7546  1 Zn 2.83, 3 Se 2.84-2.96, 2 Cl 2.97
Zn: 0.0000 0.0000 0.5000  6 Tb 2.83-2.87
Se: 0.0000 0.5000 0.0000  6 Tb 2.84-2.88
Se: 0.5000 0.0000 0.0000  6 Tb 2.93-2.96
Cl: 0.5000 0.5000 0.5000  6 Tb 2.91-2.97

---

> Look up the N(E_F) of the third one.

4.12 states/eV/f.u.

---

> What is the calculated volume in the second record?

30.8 A^3/atom

---

> Which formula does entry 3 have?

Tb4ZnSe2Cl